An optimized crystal structure of HoWO4F, computed with PBE with a Hubbard U.

Lattice parameters (Å, degrees): 9.580 7.380 7.098 90.00 108.99 90.00
Space group C2/m (No. 12)
Unique sites:
1 Ho 0.202 0.000 0.114 [4 per cell]
2 W 0.152 0.500 0.279 [4 per cell]
3 O 0.046 0.500 0.783 [4 per cell]
4 O 0.209 0.307 0.160 [8 per cell]
5 O 0.239 0.500 0.545 [4 per cell]
6 F 0.016 0.000 0.833 [4 per cell]

Calculated values
The crystal system is monoclinic. Its total DFT energy (no corrections) is -7.57 eV per atom. For the calculated volume, the calculation gives 474.56 Å³ per cell.